Density functional theory data (PBE) for a relaxed structure of TaV3Ru3.

Results
D(E_F) ... 26.5 states/eV per cell
E_form ... -90 meV per atom

Cell: 8.4007 8.6599 5.7633 Å, 90.00 90.00 90.00°
Space group Cmmm (No. 65)
Symmetry-distinct sites (fractional):
Ta 0.1801 0.0000 0.0000 (multiplicity 4)
V 0.0000 0.1629 0.5000 (multiplicity 4)
V 0.0000 0.2744 0.0000 (multiplicity 4)
V 0.2395 0.5000 0.5000 (multiplicity 4)
Ru 0.0000 0.5000 0.2545 (multiplicity 4)
Ru 0.2500 0.2500 0.2549 (multiplicity 8)